Entry 1:
Compound: Ce4Mn3Sb8
Source: Alexandria
Functional: PBE
Structure: relaxed

Properties
ΔE_f (raw) in meV per atom: -570
Energy in eV per atom: -6.18

Unit cell a=4.377 b=4.377 c=20.058 alpha=90.00 beta=90.00 gamma=90.00
Atoms (fractional coordinates):
Ce (0.000, 0.500, 0.119)
Ce (0.000, 0.500, 0.633)
Ce (0.500, 0.000, 0.367)
Ce (0.500, 0.000, 0.881)
Mn (0.000, 0.000, 0.500)
Mn (0.500, 0.500, 0.000)
Mn (0.500, 0.500, 0.500)
Sb (0.000, 0.000, 0.244)
Sb (0.000, 0.000, 0.756)
Sb (0.000, 0.500, 0.418)
Sb (0.000, 0.500, 0.927)
Sb (0.500, 0.000, 0.073)
Sb (0.500, 0.000, 0.582)
Sb (0.500, 0.500, 0.243)
Sb (0.500, 0.500, 0.757)


Entry 2:
Compound: CeMnSb3
Source: Alexandria
Functional: PBE
Structure: relaxed

Properties
ΔE_f (raw) in meV per atom: -494
Energy in eV per atom: -5.99

Unit cell a=12.921 b=6.260 c=6.065 alpha=90.00 beta=90.00 gamma=90.00
Atoms (fractional coordinates):
Ce (0.191, 0.004, 0.250)
Ce (0.191, 0.496, 0.750)
Ce (0.809, 0.504, 0.250)
Ce (0.809, 0.996, 0.750)
Mn (0.408, 0.750, 0.000)
Mn (0.408, 0.750, 0.500)
Mn (0.592, 0.250, 0.000)
Mn (0.592, 0.250, 0.500)
Sb (0.001, 0.750, 0.000)
Sb (0.001, 0.750, 0.500)
Sb (0.272, 0.509, 0.250)
Sb (0.272, 0.991, 0.750)
Sb (0.436, 0.102, 0.250)
Sb (0.436, 0.398, 0.750)
Sb (0.564, 0.602, 0.250)
Sb (0.564, 0.898, 0.750)
Sb (0.728, 0.009, 0.250)
Sb (0.728, 0.491, 0.750)
Sb (0.999, 0.250, 0.000)
Sb (0.999, 0.250, 0.500)


Entry 3:
Compound: CeMn4Sb12
Source: Alexandria
Functional: PBE
Structure: relaxed

Properties
ΔE_f (raw) in meV per atom: -134
Energy in eV per atom: -5.55

Unit cell a=8.048 b=8.048 c=8.048 alpha=109.47 beta=109.47 gamma=109.47
Atoms (fractional coordinates):
Ce (0.000, 0.000, 0.000)
Mn (0.000, 0.000, 0.500)
Mn (0.000, 0.500, 0.000)
Mn (0.500, 0.000, 0.000)
Mn (0.500, 0.500, 0.500)
Sb (0.160, 0.333, 0.494)
Sb (0.160, 0.667, 0.827)
Sb (0.173, 0.840, 0.333)
Sb (0.333, 0.173, 0.840)
Sb (0.333, 0.494, 0.160)
Sb (0.494, 0.160, 0.333)
Sb (0.506, 0.840, 0.667)
Sb (0.667, 0.506, 0.840)
Sb (0.667, 0.827, 0.160)
Sb (0.827, 0.160, 0.667)
Sb (0.840, 0.333, 0.173)
Sb (0.840, 0.667, 0.506)


Entry 4:
Compound: CeMnSb2
Source: Alexandria
Functional: PBE
Structure: relaxed

Properties
ΔE_f (raw) in meV per atom: 86
Energy in eV per atom: -5.75

Unit cell a=10.339 b=10.339 c=10.339 alpha=18.85 beta=18.85 gamma=18.85
Atoms (fractional coordinates):
Ce (0.000, 0.000, 0.000)
Mn (0.500, 0.500, 0.500)
Sb (0.106, 0.106, 0.106)
Sb (0.894, 0.894, 0.894)